Density functional theory data (PBE with a Hubbard U) for an optimized crystal structure of NaMnAs2O6.

a = 6.9698 Å, b = 6.9698 Å, c = 6.1187 Å
α = 105.23°, β = 105.23°, γ = 84.03°
Last column: nearest neighbours and their distance in Å.
Fractional coordinates of all 20 atoms:
Na: 0.2161 0.7839 0.7500  6 O 2.42-2.62
Na: 0.7839 0.2161 0.2500  6 O 2.42-2.62
Mn: 0.4061 0.5939 0.2500  6 O 2.15-2.28
Mn: 0.5939 0.4061 0.7500  6 O 2.15-2.28
As: 0.1162 0.2968 0.7502  4 O 1.71-1.86
As: 0.2968 0.1162 0.2502  4 O 1.71-1.86
As: 0.7032 0.8838 0.7498  4 O 1.71-1.86
As: 0.8838 0.7032 0.2498  4 O 1.71-1.86
O: 0.1157 0.5907 0.3087  1 As 1.71
O: 0.1409 0.1411 0.4597  2 As 1.85-1.86
O: 0.1411 0.1409 0.9597  2 As 1.85-1.86
O: 0.3014 0.4710 0.8602  1 As 1.74
O: 0.4093 0.8843 0.1913  1 As 1.71
O: 0.4710 0.3014 0.3602  1 As 1.74
O: 0.5290 0.6986 0.6398  1 As 1.74
O: 0.5907 0.1157 0.8087  1 As 1.71
O: 0.6986 0.5290 0.1398  1 As 1.74
O: 0.8589 0.8591 0.0403  2 As 1.85-1.86
O: 0.8591 0.8589 0.5403  2 As 1.85-1.86
O: 0.8843 0.4093 0.6913  1 As 1.71

Summary:
The total energy comes out at -61.8 eV per formula unit. The density of states at the Fermi level is 3.0 states/eV per cell. The total magnetization is 9.7 μB/cell.